1.
Compound: KBeSeN2
Source: Alexandria
Functional: PBE-GGA
Structure: relaxed

Output
Energy relative to the lowest polymorph listed for this composition in kJ/mol of formula units: 0
Formation energy from raw total energies in eV per atom: 1.128
Spin magnetization in μB/atom: 0.806
Fermi-level density of states in states/eV/f.u.: 4.11
Space-group type: P4/mmm, No. 123
VASP energy in eV per atom: -3.86

abc: 4.1781 4.1781 4.6172
angles: 90.00 90.00 90.00
With the nearest neighbours (Å) after each atom.
Sites, in units of the cell vectors:
K (0.0000, 0.0000, 0.0000)  4 Se 2.95, 8 N 3.11
Be (0.5000, 0.5000, 0.5000)  4 N 2.09, 2 Se 2.31
Se (0.5000, 0.5000, 0.0000)  2 Be 2.31
N (0.0000, 0.5000, 0.5000)  2 Be 2.09
N (0.5000, 0.0000, 0.5000)  2 Be 2.09

2.
Compound: Cs5Tl6Ge
Source: Alexandria
Functional: PBE-GGA
Structure: relaxed

Output
Spin magnetization in μB/atom: 0.000
Fermi-level density of states in states/eV/f.u.: 5.82
Space-group type: C2/m, No. 12
Formation energy from the elements in kcal/mol of atoms: -0.859
VASP energy in eV per atom: -1.96

abc: 9.4361 9.4361 9.2459
angles: 100.49 100.49 119.90
With the nearest neighbours (Å) after each atom.
Sites, in units of the cell vectors:
Cs (0.0000, 0.0000, 0.0000)  4 Tl 3.94
Cs (0.1585, 0.8415, 0.5000)  6 Tl 4.02-4.07
Cs (0.3083, 0.6917, 0.0000)  4 Tl 4.04-4.05
Cs (0.6917, 0.3083, 0.0000)  4 Tl 4.04-4.05
Cs (0.8415, 0.1585, 0.5000)  6 Tl 4.02-4.07
Tl (0.1999, 0.4461, 0.3190)  1 Ge 2.76
Tl (0.3467, 0.3467, 0.7062)  1 Ge 2.78
Tl (0.4461, 0.1999, 0.3190)  1 Ge 2.76
Tl (0.5539, 0.8001, 0.6810)  1 Ge 2.76
Tl (0.6533, 0.6533, 0.2938)  1 Ge 2.78
Tl (0.8001, 0.5539, 0.6810)  1 Ge 2.76
Ge (0.5000, 0.5000, 0.5000)  6 Tl 2.76-2.78

3.
Compound: Ac6TlIn3
Source: Alexandria
Functional: PBE-GGA
Structure: relaxed

Output
Spin magnetization in μB/atom: 0.000
Fermi-level density of states in states/eV/f.u.: 9.37
Space-group type: P2_1/m, No. 11
Formation energy from the elements in kcal/mol of atoms: -6.897
VASP energy in eV per atom: -3.82

abc: 10.4149 5.7591 12.7480
angles: 90.00 106.60 90.00
With the nearest neighbours (Å) after each atom.
Sites, in units of the cell vectors:
Ac (0.0343, 0.2500, 0.4077)  6 In 3.44-3.77
Ac (0.1520, 0.7500, 0.1785)  5 In 3.42-3.58, 1 Tl 3.48
Ac (0.2518, 0.2500, 0.9968)  4 In 3.48-3.71, 3 Tl 3.60-3.70
Ac (0.3326, 0.7500, 0.8144)  3 In 3.52-3.64, 3 Tl 3.59-3.61
Ac (0.3781, 0.2500, 0.3438)  4 Ac 3.50-3.89, 3 In 3.60-3.70
Ac (0.3907, 0.2500, 0.6211)  3 In 3.36-3.48, 1 Tl 3.37, 3 Ac 3.50-3.70
Ac (0.6093, 0.7500, 0.3789)  3 In 3.36-3.48, 1 Tl 3.37, 3 Ac 3.50-3.70
Ac (0.6219, 0.7500, 0.6562)  4 Ac 3.50-3.89, 3 In 3.60-3.70
Ac (0.6674, 0.2500, 0.1856)  3 In 3.52-3.64, 3 Tl 3.59-3.61
Ac (0.7482, 0.7500, 0.0032)  4 In 3.48-3.71, 3 Tl 3.60-3.70
Ac (0.8480, 0.2500, 0.8215)  5 In 3.42-3.58, 1 Tl 3.48
Ac (0.9657, 0.7500, 0.5923)  6 In 3.44-3.77
Tl (0.4515, 0.7500, 0.1080)  8 Ac 3.37-3.70
Tl (0.5485, 0.2500, 0.8920)  8 Ac 3.37-3.70
In (0.0307, 0.7500, 0.8860)  8 Ac 3.42-3.71
In (0.1189, 0.2500, 0.7135)  8 Ac 3.36-3.74
In (0.2773, 0.7500, 0.4697)  8 Ac 3.48-3.77
In (0.7227, 0.2500, 0.5303)  8 Ac 3.48-3.77
In (0.8811, 0.7500, 0.2865)  8 Ac 3.36-3.74
In (0.9693, 0.2500, 0.1140)  8 Ac 3.42-3.71

4.
Compound: ZrCoHg2Ru
Source: Alexandria
Functional: PBE-GGA
Structure: relaxed

Output
Spin magnetization in μB/atom: 0.398
Fermi-level density of states in states/eV/f.u.: 6.03
Space-group type: P4/mmm, No. 123
Formation energy from the elements in kcal/mol of atoms: 22.498
VASP energy in eV per atom: -4.13

abc: 5.1802 5.1802 4.7876
angles: 90.00 90.00 90.00
With the nearest neighbours (Å) after each atom.
Sites, in units of the cell vectors:
Zr (0.0000, 0.0000, 0.0000)  2 Ru 2.39
Co (0.5000, 0.5000, 0.0000)  8 Hg 3.53, 4 Zr 3.66
Hg (0.0000, 0.5000, 0.5000)  2 Ru 2.59
Hg (0.5000, 0.0000, 0.5000)  2 Ru 2.59
Ru (0.0000, 0.0000, 0.5000)  2 Zr 2.39, 4 Hg 2.59